Entry 1:
Here is a relaxed U2Be4ZnSi3 crystal from Alexandria. Energies are from PBE.

POSCAR file:
```
U2Be4ZnSi3
1.0
3.8621 0.0000 0.0000
0.0000 3.8621 0.0000
0.0000 0.0000 9.5709
U Be Zn Si
2 4 1 3
Cartesian
1.9311 0.0000 2.3413 U
0.0000 1.9311 7.2296 U
1.9311 1.9311 0.0000 Be
0.0000 0.0000 0.0000 Be
1.9311 0.0000 6.0827 Be
0.0000 1.9311 3.4882 Be
1.9311 1.9311 4.7854 Zn
0.0000 0.0000 4.7854 Si
1.9311 0.0000 8.3087 Si
0.0000 1.9311 1.2622 Si
```

Results
Uncorrected energy: -5.67 eV per atom
Size of the total moment: 5.4 μB/cell
ΔE_f (raw): -0.17 eV/atom
Fermi-level density of states: 1.289 states/eV per atom
V: 14.3 Å³/atom

=====

Entry 2:
Here is a relaxed Be2V2Si crystal from Alexandria. Energies are from PBE.

POSCAR file:
```
Be2V2Si
1.0
-3.1326 2.9260 -3.7703
1.8842 -3.3853 -4.1927
-2.5669 -2.0754 0.5221
Be Si V
4 2 4
Cartesian
0.4710 -1.8660 -5.1016 Be
-1.5754 0.4595 -5.9185 Be
-1.7194 1.4067 -2.8615 Be
0.3270 -0.9189 -2.0446 Be
0.0000 0.0000 0.0000 Si
-0.6242 -0.2297 -3.9815 Si
-0.5615 -2.8113 -3.2394 V
-1.8501 -1.8471 -5.7423 V
-3.2538 0.2766 -4.2015 V
-1.9651 -0.6876 -1.6986 V
```

Results
Uncorrected energy: -6.46 eV per atom
Size of the total moment: 0.0 μB/cell
ΔE_f (raw): -0.24 eV/atom
Fermi-level density of states: 0.750 states/eV per atom
V: 10.9 Å³/atom

=====

Entry 3:
Here is a relaxed BeV2Si crystal from Alexandria. Energies are from PBE.

POSCAR file:
```
BeV2Si
1.0
3.7428 0.0000 0.0000
0.0000 3.5602 0.0000
0.0000 0.0000 3.5602
Be Si V
1 1 2
Cartesian
1.8714 1.7801 1.7801 Be
1.8714 0.0000 0.0000 Si
0.0000 0.0000 1.7801 V
0.0000 1.7801 0.0000 V
```

Results
Uncorrected energy: -7.14 eV per atom
Size of the total moment: 0.0 μB/cell
ΔE_f (raw): -0.29 eV/atom
Fermi-level density of states: 0.551 states/eV per atom
V: 11.9 Å³/atom
Energy above the most stable polymorph in this dataset: 0 kJ/mol of formula units

=====

Entry 4:
Here is a relaxed BeV3Si crystal from Alexandria. Energies are from PBE.

POSCAR file:
```
BeV3Si
1.0
-3.0475 -1.2053 -3.3260
-3.8022 -1.1905 3.9153
0.2915 5.1538 -2.1348
Be V Si
2 6 2
Cartesian
0.0000 0.0000 0.0000 Be
-1.5237 -0.6027 -1.6630 Be
-3.7904 -0.2928 1.9404 V
-2.7678 3.0508 -3.4858 V
-3.6639 1.9398 1.0154 V
-2.8943 0.8182 -2.5609 V
-2.1433 0.2232 0.2442 V
-4.4149 2.5348 -1.7897 V
-1.8358 2.7363 -0.9483 Si
-4.7224 0.0216 -0.5971 Si
```

Results
Uncorrected energy: -7.23 eV per atom
Size of the total moment: 0.0 μB/cell
ΔE_f (raw): 0.07 eV/atom
Fermi-level density of states: 0.760 states/eV per atom
V: 12.6 Å³/atom
Energy above the most stable polymorph in this dataset: 0 kJ/mol of formula units

=====

Entry 5:
Here is a relaxed Be5VSi2 crystal from Alexandria. Energies are from PBE.

POSCAR file:
```
Be5VSi2
1.0
1.5503 -2.9427 3.2031
5.1035 -3.8812 0.6190
2.2775 0.4928 6.0052
Be V Si
5 1 2
Cartesian
4.0965 -3.7634 5.2055 Be
2.3262 -0.3121 4.0791 Be
3.7391 -2.4991 1.3861 Be
5.9205 -4.2315 6.5426 Be
8.0602 -5.2978 8.5312 Be
2.3634 -2.7904 3.5061 V
4.4931 -3.9309 2.9441 Si
3.0799 -1.7437 5.6374 Si
```

Results
Uncorrected energy: -4.78 eV per atom
Size of the total moment: 0.0 μB/cell
ΔE_f (raw): 0.04 eV/atom
Fermi-level density of states: 0.361 states/eV per atom
V: 10.7 Å³/atom

=====

Entry 6:
Here is a relaxed BeVSi2 crystal from Alexandria. Energies are from PBE.

POSCAR file:
```
BeVSi2
1.0
3.1233 0.0000 0.0000
0.0000 3.1233 0.0000
0.0000 0.0000 4.9647
Be Si V
1 2 1
Cartesian
1.5616 1.5616 0.0000 Be
0.0000 0.0000 3.7602 Si
0.0000 0.0000 1.2045 Si
1.5616 1.5616 2.4823 V
```

Results
Uncorrected energy: -6.02 eV per atom
Size of the total moment: 0.0 μB/cell
ΔE_f (raw): -0.10 eV/atom
Fermi-level density of states: 0.547 states/eV per atom
V: 12.1 Å³/atom
Energy above the most stable polymorph in this dataset: 0 kJ/mol of formula units

=====

Entry 7:
Here is a relaxed BeV2Si crystal from Alexandria. Energies are from PBE.

POSCAR file:
```
BeV2Si
1.0
3.1140 0.0000 0.0000
0.0000 3.1140 0.0000
0.0000 0.0000 4.9535
Be Si V
1 1 2
Cartesian
1.5570 1.5570 0.0000 Be
1.5570 1.5570 2.4768 Si
0.0000 0.0000 3.7343 V
0.0000 0.0000 1.2192 V
```

Results
Uncorrected energy: -7.00 eV per atom
Size of the total moment: 0.0 μB/cell
ΔE_f (raw): -0.15 eV/atom
Fermi-level density of states: 0.586 states/eV per atom
V: 12.0 Å³/atom
Energy above the most stable polymorph in this dataset: 55 kJ/mol of formula units

=====

Entry 8:
Here is a relaxed BeV3Si crystal from Alexandria. Energies are from PBE.

POSCAR file:
```
BeV3Si
1.0
-2.3356 3.2533 0.6251
-3.1935 -2.0076 -1.4836
-0.8811 -1.3473 3.7200
Be Si V
1 1 3
Cartesian
0.0000 0.0000 0.0000 Be
-3.2051 -0.0508 1.4307 Si
-1.5967 -1.0038 -0.7418 V
-0.4406 -0.6737 1.8600 V
-1.1678 1.6267 0.3125 V
```

Results
Uncorrected energy: -6.89 eV per atom
Size of the total moment: 0.4 μB/cell
ΔE_f (raw): 0.41 eV/atom
Fermi-level density of states: 1.087 states/eV per atom
V: 13.3 Å³/atom
Energy above the most stable polymorph in this dataset: 162 kJ/mol of formula units

=====

Entry 9:
Here is a relaxed BeV2Si crystal from Alexandria. Energies are from PBE.

POSCAR file:
```
BeV2Si
1.0
-4.0281 4.8349 1.0540
-1.8951 -2.7627 5.4304
-1.1893 2.2439 4.4751
Be Si V
2 2 4
Cartesian
-2.9616 1.0361 3.2422 Be
-3.0230 0.2586 6.5738 Be
0.0000 0.0000 0.0000 Si
-4.0895 4.0574 4.3857 Si
-3.0171 3.1959 2.4473 V
-2.0199 -0.5198 4.6536 V
-3.1294 2.4362 5.8347 V
-6.0584 3.5198 8.9835 V
```

Results
Uncorrected energy: -6.75 eV per atom
Size of the total moment: 0.0 μB/cell
ΔE_f (raw): 0.10 eV/atom
Fermi-level density of states: 0.381 states/eV per atom
V: 12.6 Å³/atom
Energy above the most stable polymorph in this dataset: 152 kJ/mol of formula units

=====

Entry 10:
Here is a relaxed Be2V6Si crystal from Alexandria. Energies are from PBE.

POSCAR file:
```
Be2V6Si
1.0
6.6307 -0.1291 -0.3690
-2.6317 6.0874 0.3690
-2.4561 -2.6727 5.5626
Be V Si
4 12 2
Cartesian
0.1498 -0.1006 4.8556 Be
1.3930 3.3862 0.7071 Be
2.7086 -1.8179 3.3698 Be
1.4660 -0.9839 1.8238 Be
-0.4863 2.0978 4.5060 V
2.0291 1.1878 1.0567 V
-2.1257 -0.3448 4.5060 V
3.6685 3.6305 1.0567 V
1.9476 3.0140 2.9770 V
-0.4047 0.2716 2.5856 V
-2.9289 1.9658 5.5284 V
4.4718 1.3199 0.0342 V
2.0137 0.4574 3.6584 V
-0.4709 2.8282 1.9042 V
-2.2921 4.0505 4.0275 V
3.8349 -0.7649 1.5352 V
-2.5439 1.7074 2.9658 Si
0.0000 0.0000 0.0000 Si
```

Results
Uncorrected energy: -7.65 eV per atom
Size of the total moment: 0.0 μB/cell
ΔE_f (raw): -0.14 eV/atom
Fermi-level density of states: 0.964 states/eV per atom
V: 12.3 Å³/atom

=====

Entry 11:
Here is a relaxed Be2V5Si crystal from Alexandria. Energies are from PBE.

POSCAR file:
```
Be2V5Si
1.0
6.0559 0.0000 0.0000
0.0000 6.0559 0.0000
-3.0279 -3.0279 5.2618
Be V Si
4 10 2
Cartesian
0.7575 2.2704 0.0000 Be
3.7854 0.7575 0.0000 Be
2.2704 5.2984 0.0000 Be
5.2984 3.7855 0.0000 Be
1.0083 2.0197 3.6925 V
4.0362 5.0476 1.5693 V
0.0000 0.0000 0.0000 V
3.0279 3.0279 0.0000 V
-1.0083 -2.0197 3.6925 V
2.0197 -1.0083 3.6925 V
-2.0197 1.0083 3.6925 V
1.0083 4.0362 1.5693 V
5.0476 2.0197 1.5693 V
2.0197 1.0083 1.5693 V
3.0279 3.0279 2.6309 Si
0.0000 0.0000 2.6309 Si
```

Results
Uncorrected energy: -7.57 eV per atom
Size of the total moment: 0.0 μB/cell
ΔE_f (raw): -0.26 eV/atom
Fermi-level density of states: 0.878 states/eV per atom
V: 12.1 Å³/atom

=====

Entry 12:
Here is a relaxed BeVSi2 crystal from Alexandria. Energies are from PBE.

POSCAR file:
```
BeVSi2
1.0
-0.7675 -6.1783 2.2059
4.2408 -2.1617 -4.5792
3.5430 -3.8509 0.3355
Be Si V
2 4 2
Cartesian
1.7366 -4.1700 -1.1867 Be
4.7602 -5.0914 -2.7152 Be
0.9713 -4.8115 0.7892 Si
3.4052 -3.3690 -2.4014 Si
4.1539 -6.1147 -0.8480 Si
5.5022 -10.0868 -1.6154 Si
0.0000 0.0000 0.0000 V
2.2561 -7.0996 0.6774 V
```

Results
Uncorrected energy: -5.62 eV per atom
Size of the total moment: 0.1 μB/cell
ΔE_f (raw): 0.31 eV/atom
Fermi-level density of states: 0.868 states/eV per atom
V: 13.0 Å³/atom
Energy above the most stable polymorph in this dataset: 155 kJ/mol of formula units